a.
Entry from Alexandria via LeMat-Bulk: crystalline SmErS3 at its relaxed geometry (PBE-GGA).

```
SmErS3
1.0
7.1184 -1.9458 0.0000
7.1184 1.9458 0.0000
-0.5320 0.0000 8.5839
Sm Er S
2 2 6
direct
0.1149 0.1149 0.0854 Sm
0.8851 0.8851 0.9146 Sm
0.3297 0.3297 0.3658 Er
0.6703 0.6703 0.6342 Er
0.1402 0.1402 0.4290 S
0.2443 0.2443 0.8384 S
0.4649 0.4649 0.1618 S
0.5351 0.5351 0.8382 S
0.7557 0.7557 0.1616 S
0.8598 0.8598 0.5710 S
```

The space group is C2/m, No. 12. Its crystal system is monoclinic.

=====

b.
Entry from Alexandria via LeMat-Bulk: crystalline SmErS3 at its relaxed geometry (PBE-GGA).

```
SmErS3
1.0
7.3433 0.0000 0.0000
0.0000 3.9400 0.0000
0.0000 0.0000 15.2642
Sm Er S
4 4 12
direct
0.1428 0.2500 0.2017 Sm
0.3572 0.7500 0.7017 Sm
0.6428 0.2500 0.2983 Sm
0.8572 0.7500 0.7983 Sm
0.2310 0.7500 0.4570 Er
0.2690 0.2500 0.9570 Er
0.7310 0.7500 0.0430 Er
0.7690 0.2500 0.5430 Er
0.0113 0.2500 0.3946 S
0.1243 0.7500 0.0632 S
0.1497 0.2500 0.7842 S
0.3503 0.7500 0.2842 S
0.3757 0.2500 0.5632 S
0.4887 0.7500 0.8946 S
0.5113 0.2500 0.1054 S
0.6243 0.7500 0.4368 S
0.6497 0.2500 0.7158 S
0.8503 0.7500 0.2158 S
0.8757 0.2500 0.9368 S
0.9887 0.7500 0.6054 S
```

The space group is Pnma, No. 62. Its crystal system is orthorhombic.

=====

Which structure is most stable? b, by 59 meV/atom over the runner-up.

=====

a.
Entry from Alexandria via LeMat-Bulk: crystalline TbErS2 at its relaxed geometry (PBE-GGA).

```
TbErS2
1.0
1.9095 1.1024 6.7307
-1.9095 1.1024 6.7307
0.0000 -2.2049 6.7307
Tb Er S
1 1 2
direct
0.0000 0.0000 0.0000 Tb
0.1783 0.1783 0.1783 Er
0.5857 0.5857 0.5857 S
0.7587 0.7587 0.7587 S
```

For the density of states at the Fermi level, the calculation gives 0.16 states/eV/atom. The space group is R3m, No. 160. Its crystal system is trigonal.

=====

b.
Entry from Alexandria via LeMat-Bulk: crystalline TbErS2 at its relaxed geometry (PBE-GGA).

```
TbErS2
1.0
3.3685 -1.9529 0.0000
3.3685 1.9529 0.0000
-2.2677 0.0000 6.3524
Tb Er S
1 1 2
direct
0.0000 0.0000 0.0000 Tb
0.5000 0.5000 0.5000 Er
0.2480 0.2480 0.7438 S
0.7520 0.7520 0.2562 S
```

For the density of states at the Fermi level, the calculation gives 0.39 states/eV/atom. The space group is C2/m, No. 12. Its crystal system is monoclinic.

=====

Which structure is most stable? b, by 25 meV/atom over the runner-up.

=====

a.
Entry from Alexandria via LeMat-Bulk: crystalline Er2Te2S at its relaxed geometry (PBE-GGA).

```
Er2Te2S
1.0
8.3947 0.0000 0.0000
0.0000 6.1700 0.0000
0.0000 0.0000 12.0822
Er Te S
8 8 4
direct
0.0620 0.2500 0.2329 Er
0.1600 0.2500 0.5727 Er
0.3400 0.7500 0.0727 Er
0.4380 0.7500 0.7329 Er
0.5620 0.2500 0.2671 Er
0.6600 0.2500 0.9273 Er
0.8400 0.7500 0.4273 Er
0.9380 0.7500 0.7671 Er
0.0456 0.7500 0.2114 Te
0.1617 0.7500 0.5612 Te
0.3383 0.2500 0.0612 Te
0.4544 0.2500 0.7114 Te
0.5456 0.7500 0.2885 Te
0.6617 0.7500 0.9388 Te
0.8383 0.2500 0.4388 Te
0.9544 0.2500 0.7886 Te
0.2083 0.7500 0.8819 S
0.2917 0.2500 0.3819 S
0.7083 0.7500 0.6181 S
0.7917 0.2500 0.1181 S
```

The space group is Pnma, No. 62. Its crystal system is orthorhombic.

=====

b.
Entry from Alexandria via LeMat-Bulk: crystalline Er2Te2S at its relaxed geometry (PBE-GGA).

```
Er2Te2S
1.0
-3.9707 5.7362 3.1888
3.9707 -5.7362 3.1888
3.9707 5.7362 -3.1888
Er Te S
4 4 2
direct
0.0985 0.2323 0.3308 Er
0.4015 0.7323 0.1338 Er
0.5985 0.2677 0.8662 Er
0.9015 0.7677 0.6692 Er
0.1478 0.6245 0.7723 Te
0.3522 0.1245 0.4767 Te
0.6478 0.8755 0.5233 Te
0.8522 0.3755 0.2277 Te
0.2500 0.2500 0.0000 S
0.7500 0.7500 0.0000 S
```

For the density of states at the Fermi level, the calculation gives 0.01 states/eV/atom. The space group is Ibam, No. 72. Its crystal system is orthorhombic.

=====

Which structure is most stable? b, by 50 meV/atom over the runner-up.

=====

a.
Entry from Alexandria via LeMat-Bulk: crystalline Er3Te2S at its relaxed geometry (PBE-GGA).

```
Er3Te2S
1.0
6.2136 -3.4812 0.0000
6.2136 3.4812 0.0000
0.0000 0.0000 7.2607
Er Te S
6 4 2
direct
0.0000 0.0000 0.0000 Er
0.0000 0.0000 0.5000 Er
0.3587 0.3587 0.0000 Er
0.3587 0.3587 0.5000 Er
0.6413 0.6413 0.0000 Er
0.6413 0.6413 0.5000 Er
0.0178 0.3314 0.2500 Te
0.3314 0.0178 0.7500 Te
0.6686 0.9822 0.2500 Te
0.9822 0.6686 0.7500 Te
0.3275 0.6725 0.2500 S
0.6725 0.3275 0.7500 S
```

For the density of states at the Fermi level, the calculation gives 0.63 states/eV/atom. The space group is Cmcm, No. 63. Its crystal system is orthorhombic.

=====

b.
Entry from Alexandria via LeMat-Bulk: crystalline Er3Te2S at its relaxed geometry (PBE-GGA).

```
Er3Te2S
1.0
3.5920 -6.2231 0.0000
3.5920 6.2231 0.0000
-2.3921 0.0000 6.9040
Er Te S
6 4 2
direct
0.0656 0.4272 0.7856 Er
0.2057 0.2057 0.2054 Er
0.4272 0.0656 0.7856 Er
0.5728 0.9344 0.2144 Er
0.7943 0.7943 0.7946 Er
0.9344 0.5728 0.2144 Er
0.0000 0.0000 0.5000 Te
0.3433 0.6567 0.5000 Te
0.5000 0.5000 0.0000 Te
0.6567 0.3433 0.5000 Te
0.1688 0.8312 0.0000 S
0.8312 0.1688 0.0000 S
```

For the density of states at the Fermi level, the calculation gives 0.42 states/eV/atom. The space group is C2/m, No. 12. Its crystal system is monoclinic.

=====

Which structure is most stable? b, by 75 meV/atom over the runner-up.